[1]
This record from the Alexandria database describes a relaxed structure of CsFeTe2. The functional is GGA-PBE. Values from VASP.

The structure in Quantum ESPRESSO input format:
```
&SYSTEM
  ibrav = 0, nat = 8, ntyp = 3
/
ATOMIC_SPECIES
Cs 132.91 Cs.upf
Fe 55.84 Fe.upf
Te 127.60 Te.upf
ATOMIC_POSITIONS crystal
Cs 0.750 0.866 0.134
Cs 0.250 0.134 0.866
Fe 0.750 0.500 0.500
Fe 0.250 0.500 0.500
Te 0.911 0.431 0.207
Te 0.589 0.793 0.569
Te 0.089 0.569 0.793
Te 0.411 0.207 0.431
CELL_PARAMETERS angstrom
-4.164 -3.836 2.203
6.497 -2.781 3.265
-2.573 6.796 2.794
```

space-group type: C2/c
crystal system: monoclinic
total energy: -34.747 eV per cell
formation energy without anion corrections: -0.4435 eV per atom

***

[2]
This record from the Alexandria database describes a relaxed structure of Pr3Mg4Hg4. The functional is GGA-PBE. Values from VASP.

The structure in Quantum ESPRESSO input format:
```
&SYSTEM
  ibrav = 0, nat = 11, ntyp = 3
/
ATOMIC_SPECIES
Pr 140.91 Pr.upf
Mg 24.30 Mg.upf
Hg 200.59 Hg.upf
ATOMIC_POSITIONS crystal
Pr 0.143 0.643 0.714
Pr 0.857 0.357 0.286
Pr 0.000 0.000 0.000
Mg 0.594 0.093 0.813
Mg 0.259 0.259 0.482
Mg 0.741 0.741 0.518
Mg 0.406 0.907 0.187
Hg 0.549 0.550 0.901
Hg 0.451 0.450 0.099
Hg 0.315 0.815 0.372
Hg 0.685 0.185 0.628
CELL_PARAMETERS angstrom
-3.370 1.414 0.799
0.980 -0.405 4.831
4.732 14.666 2.751
```

space-group type: P-1
crystal system: triclinic
total energy: -25.745 eV per cell
energy relative to the lowest polymorph listed for this composition: 15 kJ/mol of formula units

***

[3]
This record from the Alexandria database describes a relaxed structure of FeSbTe2N. The functional is GGA-PBE. Values from VASP.

The structure in Quantum ESPRESSO input format:
```
&SYSTEM
  ibrav = 0, nat = 5, ntyp = 4
/
ATOMIC_SPECIES
Sb 121.76 Sb.upf
Te 127.60 Te.upf
Fe 55.84 Fe.upf
N 14.01 N.upf
ATOMIC_POSITIONS crystal
Sb 0.000 0.000 0.500
Te 0.000 0.500 0.000
Te 0.500 0.000 0.000
Fe 0.000 0.000 0.000
N 0.500 0.500 0.500
CELL_PARAMETERS angstrom
-2.981 2.944 3.013
2.634 -1.577 4.148
3.188 3.816 -0.574
```

space-group type: P4/mmm
crystal system: tetragonal
total energy: -20.470 eV per cell
formation energy without anion corrections: 1.3447 eV per atom
energy relative to the lowest polymorph listed for this composition: 520 kJ/mol of formula units

***

[4]
This record from the Alexandria database describes a relaxed structure of RbSnSbSe3. The functional is GGA-PBE. Values from VASP.

The structure in Quantum ESPRESSO input format:
```
&SYSTEM
  ibrav = 0, nat = 12, ntyp = 4
/
ATOMIC_SPECIES
Rb 85.47 Rb.upf
Sn 118.71 Sn.upf
Sb 121.76 Sb.upf
Se 78.96 Se.upf
ATOMIC_POSITIONS crystal
Rb 0.250 0.220 0.260
Rb 0.750 0.780 0.740
Sn 0.250 0.145 0.562
Sn 0.750 0.855 0.438
Sb 0.250 0.629 0.149
Sb 0.750 0.371 0.851
Se 0.750 0.876 0.213
Se 0.250 0.124 0.787
Se 0.250 0.640 0.408
Se 0.750 0.360 0.592
Se 0.750 0.391 0.096
Se 0.250 0.609 0.904
CELL_PARAMETERS angstrom
4.202 0.000 0.000
0.000 8.903 0.218
0.000 -4.272 10.891
```

space-group type: P2_1/m
crystal system: monoclinic
total energy: -46.205 eV per cell
formation energy without anion corrections: -0.5927 eV per atom

***

[5]
This record from the Alexandria database describes a relaxed structure of Sc3Ga4Ru2. The functional is GGA-PBE. Values from VASP.

The structure in Quantum ESPRESSO input format:
```
&SYSTEM
  ibrav = 0, nat = 9, ntyp = 3
/
ATOMIC_SPECIES
Sc 44.96 Sc.upf
Ga 69.72 Ga.upf
Ru 101.07 Ru.upf
ATOMIC_POSITIONS crystal
Sc 0.663 0.327 0.671
Sc 0.000 0.000 0.000
Sc 0.337 0.673 0.329
Ga 0.684 0.368 0.029
Ga 0.316 0.632 0.971
Ga 0.928 0.856 0.597
Ga 0.072 0.144 0.403
Ru 0.632 0.265 0.307
Ru 0.368 0.735 0.693
CELL_PARAMETERS angstrom
-0.430 -4.325 -0.169
2.334 1.769 4.746
-8.060 0.840 -0.990
```

space-group type: C2/m
crystal system: monoclinic
total energy: -55.114 eV per cell

***

[6]
This record from the Alexandria database describes a relaxed structure of NdCuSiPt6. The functional is GGA-PBE. Values from VASP.

The structure in Quantum ESPRESSO input format:
```
&SYSTEM
  ibrav = 0, nat = 18, ntyp = 4
/
ATOMIC_SPECIES
Nd 144.24 Nd.upf
Cu 63.55 Cu.upf
Si 28.09 Si.upf
Pt 195.08 Pt.upf
ATOMIC_POSITIONS crystal
Nd 0.831 0.581 0.662
Nd 0.169 0.419 0.338
Cu 0.500 0.000 0.500
Cu 0.000 0.000 0.500
Si 0.500 0.500 0.000
Si 0.500 0.000 0.000
Pt 0.424 0.674 0.848
Pt 0.915 0.165 0.830
Pt 0.901 0.116 0.257
Pt 0.356 0.641 0.257
Pt 0.356 0.116 0.257
Pt 0.901 0.641 0.257
Pt 0.576 0.326 0.152
Pt 0.085 0.835 0.170
Pt 0.099 0.884 0.743
Pt 0.644 0.359 0.743
Pt 0.644 0.884 0.743
Pt 0.099 0.359 0.743
CELL_PARAMETERS angstrom
6.574 0.000 0.000
0.000 9.210 0.000
-3.287 -4.605 5.631
```

space-group type: Imma
crystal system: orthorhombic
total energy: -107.414 eV per cell
formation energy without anion corrections: -0.3528 eV per atom